## Ac2TaVO8 (GGA+U)

Data for a relaxed Ac2TaVO8 crystal.

Unit cell a=5.586 b=6.025 c=6.266 alpha=77.42 beta=68.21 gamma=77.09
Element x y z (fractional)
Ac 0.111 0.192 0.155
Ac 0.889 0.808 0.845
Ta 0.500 0.500 0.500
V 0.500 0.000 0.500
O 0.249 0.483 0.817
O 0.279 0.981 0.809
O 0.289 0.820 0.433
O 0.309 0.296 0.424
O 0.691 0.704 0.576
O 0.711 0.180 0.567
O 0.721 0.019 0.191
O 0.751 0.517 0.183

Values from the calculation:
Symmetry: P-1, No. 2
Uncorrected energy in eV/atom: -8.425
Volume in A^3/atom: 15.73